A plane-wave DFT calculation with PBEsol was carried out for a relaxed structure of Fe2PIr.

extended XYZ file:
```
4
Lattice="2.630 0.000 0.000 0.000 3.444 0.000 0.000 0.000 4.968" Properties=species:S:1:pos:R:3 pbc="T T T"
Fe 0.000 0.000 1.166
Fe 0.000 0.000 3.802
P 1.315 1.722 0.000
Ir 1.315 1.722 2.484
```

Values from the calculation:
* crystal system: orthorhombic
* total magnetic moment: 0.01 μB per formula unit
* E_form: -3.5 kJ per mole of atoms